1.
## NaSmAu4 (PBE-GGA)

Data for NaSmAu4 after structural relaxation.

E_form ... -0.456 eV/atom

```
6
Lattice="-2.696 -4.225 2.578 2.504 -5.018 0.554 1.708 -1.751 5.077" Properties=species:S:1:pos:R:3 pbc="T T T"
Au -0.300 -4.367 4.850
Au 0.096 -5.994 2.599
Au 2.289 -4.762 3.843
Sm 0.000 0.000 0.000
Au 0.947 -6.866 5.126
Na 0.379 -2.749 2.052
```

***

2.
## Zn5SnAu6 (PBE-GGA)

Data for Zn5SnAu6 after structural relaxation.

E_form ... -0.142 eV/atom

```
12
Lattice="-3.284 -3.106 0.782 1.025 -2.596 -6.003 6.512 -2.473 2.180" Properties=species:S:1:pos:R:3 pbc="T T T"
Zn 1.056 -5.490 -4.747
Zn 3.197 -2.685 1.706
Sn 0.000 0.000 0.000
Au 2.496 -3.280 -3.541
Au -1.365 -2.252 -1.224
Zn 3.739 -4.064 -1.255
Zn 0.513 -1.298 -3.002
Au 2.008 -2.047 -0.689
Zn 0.514 -4.111 -1.786
Au 1.758 -4.894 0.500
Au 5.619 -5.923 -1.818
Au 2.245 -6.128 -2.352
```

***

3.
## TaCdHg2 (PBE-GGA)

Data for TaCdHg2 after structural relaxation.

E_form ... 0.343 eV/atom

```
4
Lattice="-3.146 -2.109 5.755 -1.862 -1.454 -4.909 0.390 -2.845 0.702" Properties=species:S:1:pos:R:3 pbc="T T T"
Hg 0.000 0.000 0.000
Cd -2.504 -1.782 0.423
Hg -1.378 -2.477 3.228
Ta -0.736 -2.149 -2.104
```

***

4.
## CsRbNa2Sn (PBE-GGA)

Data for CsRbNa2Sn after structural relaxation.

E_form ... 0.028 eV/atom

```
5
Lattice="-1.272 -3.153 -5.306 5.729 1.411 -2.212 2.636 -6.053 2.965" Properties=species:S:1:pos:R:3 pbc="T T T"
Sn 0.000 0.000 0.000
Rb 3.546 -3.897 -2.277
Na -0.636 -1.576 -2.653
Na 2.865 0.706 -1.106
Cs 1.318 -3.027 1.482
```

***

5.
## LiNpBi2 (PBE-GGA)

Data for LiNpBi2 after structural relaxation.

E_form ... -0.130 eV/atom

```
4
Lattice="-2.335 -1.219 -2.124 -2.735 -2.370 4.366 -3.061 4.729 0.650" Properties=species:S:1:pos:R:3 pbc="T T T"
Bi -1.530 2.365 0.325
Bi -1.367 -1.185 2.183
Np -1.167 -0.610 -1.062
Li -4.065 0.570 1.446
```

***

6.
## VBiOs2Pt (PBE-GGA)

Data for VBiOs2Pt after structural relaxation.

E_form ... 2.778 eV/atom

```
5
Lattice="4.888 0.000 0.000 0.000 4.816 0.000 0.000 0.000 4.888" Properties=species:S:1:pos:R:3 pbc="T T T"
V 0.000 2.408 0.000
Pt 2.444 2.408 2.444
Os 0.000 0.000 2.444
Bi 0.000 0.000 0.000
Os 2.444 0.000 0.000
```

***

7.
## Ce2BeSi (PBE-GGA)

Data for Ce2BeSi after structural relaxation.

Total DFT energy (no corrections) ... -4.7679 eV per atom

```
4
Lattice="-0.913 -2.754 0.503 1.764 -1.906 1.388 -3.925 1.612 10.321" Properties=species:S:1:pos:R:3 pbc="T T T"
Be 0.000 0.000 0.000
Ce -0.281 -3.809 4.498
Si -1.537 -1.524 6.106
Ce -2.793 0.760 7.715
```

***

8.
## Tl3Bi3AsSe8 (PBE-GGA)

Data for Tl3Bi3AsSe8 after structural relaxation.

Total DFT energy (no corrections) ... -3.7504 eV per atom

```
15
Lattice="-2.822 -3.190 7.250 6.904 -3.160 -3.579 0.579 8.083 3.782" Properties=species:S:1:pos:R:3 pbc="T T T"
Se -1.905 -0.186 6.635
Se 1.750 -1.859 4.739
Tl 2.041 -3.175 1.835
Se 1.667 1.973 6.393
Se 6.565 1.919 0.817
Tl 3.452 -1.580 -1.790
Bi 2.330 0.866 3.726
Bi 3.741 2.461 0.101
Se 2.911 3.592 2.713
Se 2.994 -0.240 1.060
Bi -1.122 2.446 5.516
Tl 0.000 0.000 0.000
Se -0.410 1.503 2.796
Se 5.071 0.229 4.657
As 0.289 4.041 1.891
```

***

| no. | ρ (Mg/m³) | magnetic moment (μB/cell) |
| --- | --- | --- |
| 1 | 12.6 | 0.00 |
| 2 | 13.1 | 0.00 |
| 3 | 14.0 | 0.00 |
| 4 | 2.2 | 0.00 |
| 5 | 10.1 | 4.17 |
| 6 | 12.1 | 0.37 |
| 7 | 6.4 | 0.00 |
| 8 | 7.0 | 0.00 |